[1]
Here is a crystal of TiSiAg2 relaxed with PBEsol from Alexandria. Energies are from meta-GGA SCAN.

Summary:
Total magnetic moment ... 0.000 μB/cell
Energy ... -176.63 eV/cell
ΔE_f (raw) ... 0.12 eV/atom
Calculated density ... 7163 kg/m³
DOS at the Fermi energy ... 5.64 states/eV per cell

Cell: 3.700 3.700 10.222 Å, 100.43 100.43 90.00°
Fractional coordinates of all 8 atoms:
Si  0.750  0.250  0.500
Ag  0.871  0.375  0.250
Ag  0.125  0.129  0.750
Ag  0.379  0.875  0.250
Si  0.500  0.500  0.000
Ag  0.625  0.621  0.750
Ti  0.000  0.000  0.000
Ti  0.250  0.750  0.500

[2]
Here is a crystal of TaFeAg2 relaxed with PBEsol from Alexandria. Energies are from meta-GGA SCAN.

Summary:
Total magnetic moment ... 2.370 μB/cell
Energy ... -145.91 eV/cell
Energy above the most stable polymorph in this dataset ... 27.8 meV per atom
Calculated formation energy ... 383 meV per atom
Calculated density ... 12168 kg/m³
DOS at the Fermi energy ... 2.83 states/eV per cell

Cell: 2.750 4.737 5.026 Å, 99.23 90.00 106.87°
Each line ends with the local moment (μB).
Fractional coordinates of all 4 atoms:
Fe  0.500  0.999  0.517  2.79
Ag  0.001  0.002  0.008  -0.03
Ta  0.243  0.486  0.729  -0.23
Ag  0.756  0.513  0.247  -0.02

[3]
Here is a crystal of TiCrCuS4 relaxed with PBEsol from Alexandria. Energies are from meta-GGA SCAN.

Summary:
Total magnetic moment ... 5.978 μB/cell
Energy ... -192.43 eV/cell
Energy above the most stable polymorph in this dataset ... 0.0 meV per atom
ΔE_f (raw) ... -1.16 eV/atom
Calculated density ... 4134 kg/m³
DOS at the Fermi energy ... 0.91 states/eV per cell

Cell: 6.829 6.914 6.914 Å, 61.22 60.41 60.41°
Each line ends with the local moment (μB).
Fractional coordinates of all 14 atoms:
S  0.519  0.497  0.997  -0.03
S  0.993  0.499  0.514  -0.02
Ti  0.250  0.250  0.750  0.08
S  0.993  0.014  0.999  -0.02
Cu  0.377  0.873  0.373  0.00
S  0.986  0.497  0.997  -0.03
S  0.981  0.003  0.503  -0.03
Cr  0.750  0.250  0.250  2.82
S  0.514  0.003  0.503  -0.03
S  0.507  0.001  0.986  -0.02
Cu  0.123  0.627  0.127  0.00
S  0.507  0.486  0.501  -0.02
Ti  0.750  0.250  0.750  0.08
Cr  0.750  0.750  0.750  2.82

[4]
Here is a crystal of BaAuBr relaxed with PBEsol from Alexandria. Energies are from meta-GGA SCAN.

Summary:
Total magnetic moment ... 0.000 μB/cell
Energy ... -132.50 eV/cell
ΔE_f (raw) ... -1.44 eV/atom
Calculated density ... 6316 kg/m³
DOS at the Fermi energy ... 0.00 states/eV per cell

Cell: 5.360 5.360 5.360 Å, 60.00 60.00 60.00°
Fractional coordinates of all 3 atoms:
Au  0.500  0.500  0.500
Br  0.000  0.000  0.000
Ba  0.250  0.250  0.250

[5]
Here is a crystal of LaOsAu3 relaxed with PBEsol from Alexandria. Energies are from meta-GGA SCAN.

Summary:
Total magnetic moment ... 3.896 μB/cell
Energy ... -314.13 eV/cell
Calculated formation energy ... 1664 meV per atom
Calculated density ... 10032 kg/m³
DOS at the Fermi energy ... 6.51 states/eV per cell

Cell: 5.340 5.340 5.340 Å, 90.00 90.00 90.00°
Each line ends with the local moment (μB).
Fractional coordinates of all 5 atoms:
Os  0.500  0.500  0.500  3.13
Au  0.000  0.500  0.000  0.07
Au  0.500  0.000  0.000  0.07
Au  0.000  0.000  0.500  0.07
La  0.000  0.000  0.000  -0.02

[6]
Here is a crystal of KLiMn2 relaxed with PBEsol from Alexandria. Energies are from meta-GGA SCAN.

Summary:
Total magnetic moment ... 0.009 μB/cell
Energy ... -41.43 eV/cell
Energy above the most stable polymorph in this dataset ... 122.5 meV per atom
Calculated formation energy ... 1449 meV per atom
Calculated density ... 4366 kg/m³
DOS at the Fermi energy ... 3.38 states/eV per cell

Cell: 3.357 3.357 5.773 Å, 106.90 106.90 90.00°
Fractional coordinates of all 4 atoms:
Li  0.000  0.000  0.000
K  0.500  0.500  0.000
Mn  0.250  0.750  0.500
Mn  0.750  0.250  0.500

[7]
Here is a crystal of AlCdCl2 relaxed with PBEsol from Alexandria. Energies are from meta-GGA SCAN.

Summary:
Total magnetic moment ... 0.000 μB/cell
Energy ... -55.38 eV/cell
Energy above the most stable polymorph in this dataset ... 462.5 meV per atom
ΔE_f (raw) ... -0.32 eV/atom
Calculated density ... 3845 kg/m³
DOS at the Fermi energy ... 2.00 states/eV per cell

Cell: 3.161 3.161 9.088 Å, 90.00 90.00 90.00°
Fractional coordinates of all 4 atoms:
Cl  0.000  0.000  0.172
Cl  0.000  0.000  0.828
Al  0.500  0.500  0.000
Cd  0.500  0.500  0.500

[8]
Here is a crystal of Zr2ZnPt relaxed with PBEsol from Alexandria. Energies are from meta-GGA SCAN.

Summary:
Total magnetic moment ... 0.000 μB/cell
Energy ... -148.44 eV/cell
Calculated formation energy ... -832 meV per atom
Calculated density ... 10015 kg/m³
DOS at the Fermi energy ... 3.00 states/eV per cell

Cell: 3.358 4.241 5.423 Å, 90.00 108.04 90.00°
Fractional coordinates of all 4 atoms:
Zr  0.275  0.500  0.550
Zn  0.547  0.500  0.093
Zr  0.980  0.000  0.960
Pt  0.706  0.000  0.411

[9]
Here is a crystal of ZrZnRe2 relaxed with PBEsol from Alexandria. Energies are from meta-GGA SCAN.

Summary:
Total magnetic moment ... 0.000 μB/cell
Energy ... -186.18 eV/cell
Calculated formation energy ... 57 meV per atom
Calculated density ... 14001 kg/m³
DOS at the Fermi energy ... 2.67 states/eV per cell

Cell: 2.690 4.553 5.171 Å, 90.00 97.73 90.00°
Fractional coordinates of all 4 atoms:
Zn  0.500  0.500  0.000
Zr  0.000  0.500  0.500
Re  0.260  0.000  0.241
Re  0.740  0.000  0.759

[10]
Here is a crystal of Mg7Rh relaxed with PBEsol from Alexandria. Energies are from meta-GGA SCAN.

Summary:
Total magnetic moment ... 0.269 μB/cell
Energy ... -69.26 eV/cell
Calculated formation energy ... -85 meV per atom
Calculated density ... 2915 kg/m³
DOS at the Fermi energy ... 3.77 states/eV per cell

Cell: 6.037 6.037 6.037 Å, 60.00 60.00 60.00°
Each line ends with the local moment (μB).
Fractional coordinates of all 8 atoms:
Rh  0.000  0.000  0.000  -0.09
Mg  0.500  0.500  0.500  0.00
Mg  0.000  0.500  0.000  -0.01
Mg  0.000  0.000  0.500  -0.01
Mg  0.500  0.000  0.000  -0.01
Mg  0.500  0.500  0.000  -0.01
Mg  0.500  0.000  0.500  -0.01
Mg  0.000  0.500  0.500  -0.01

[11]
Here is a crystal of KReAs2Br relaxed with PBEsol from Alexandria. Energies are from meta-GGA SCAN.

Summary:
Total magnetic moment ... 3.082 μB/cell
Energy ... -128.66 eV/cell
ΔE_f (raw) ... 2.12 eV/atom
Calculated density ... 4880 kg/m³
DOS at the Fermi energy ... 2.51 states/eV per cell

Cell: 5.376 5.367 5.367 Å, 90.00 90.00 90.00°
Each line ends with the local moment (μB).
Fractional coordinates of all 5 atoms:
Re  0.500  0.500  0.500  -3.91
As  0.000  0.500  0.000  0.47
As  0.000  0.000  0.500  0.47
K  0.000  0.000  0.000  0.06
Br  0.500  0.000  0.000  0.07

[12]
Here is a crystal of RbZnInSe3 relaxed with PBEsol from Alexandria. Energies are from meta-GGA SCAN.

Summary:
Total magnetic moment ... 0.000 μB/cell
Energy ... -266.70 eV/cell
ΔE_f (raw) ... -0.91 eV/atom
Calculated density ... 5154 kg/m³
DOS at the Fermi energy ... 0.00 states/eV per cell

Cell: 3.975 7.738 10.893 Å, 90.00 90.00 104.88°
Fractional coordinates of all 12 atoms:
Rb  0.256  0.511  0.750
In  0.000  0.000  0.000
Zn  0.538  0.077  0.750
Se  0.620  0.240  0.555
Se  0.380  0.760  0.055
In  0.000  0.000  0.500
Rb  0.744  0.489  0.250
Se  0.380  0.760  0.445
Zn  0.462  0.923  0.250
Se  0.060  0.121  0.250
Se  0.940  0.879  0.750
Se  0.620  0.240  0.945

Which formula does entry 7 have?
AlCdCl2